# 1
Computed, not measured: NdDy8Sc3 after structural relaxation at the PBE level of DFT.

Properties
DOS at the Fermi energy	21.2	states/eV/cell
formation enthalpy at 0 K	0.067	eV/atom

a b c (Å): 6.4404 8.2351 8.2477
angles (deg): 102.25 109.63 109.73
Space group P1 (No. 1)
Unique sites:
Nd 0.0000 0.0000 0.0000 x1
Dy 0.0045 0.6697 0.6641 x1
Dy 0.0057 0.0874 0.5835 x1
Dy 0.0092 0.4169 0.9288 x1
Dy 0.4986 0.6366 0.3689 x1
Dy 0.5043 0.9650 0.7041 x1
Dy 0.5060 0.2300 0.4421 x1
Dy 0.5062 0.3010 0.0341 x1
Dy 0.9962 0.7388 0.2558 x1
Sc 0.0030 0.3432 0.3299 x1
Sc 0.4913 0.5620 0.7698 x1
Sc 0.5080 0.8960 0.1052 x1

---

# 2
Computed, not measured: AlCr2Br after structural relaxation at the PBE level of DFT.

Properties
DOS at the Fermi energy	5.0	states/eV/cell
offset from the most stable computed form	0.43	eV per formula unit
ΔE_f (raw)	0.29	eV/atom

a b c (Å): 12.6235 3.0912 4.3405
angles (deg): 90.00 93.72 90.00
Space group Cm (No. 8)
Unique sites:
Al 0.0000 0.0000 0.0000 x2
Cr 0.1111 0.0000 0.5197 x2
Cr 0.4702 0.0000 0.4948 x2
Br 0.2768 0.5000 0.4895 x2

---

# 3
Computed, not measured: Cr3AgGe after structural relaxation at the PBE level of DFT.

Properties
DOS at the Fermi energy	4.5	states/eV/cell
offset from the most stable computed form	2.67	eV per formula unit
formation enthalpy at 0 K	1.540	eV/atom

a b c (Å): 4.9400 4.9400 4.9400
angles (deg): 90.00 90.00 90.00
Space group Pm-3m (No. 221)
Unique sites:
Cr 0.0000 0.0000 0.5000 x3
Ag 0.0000 0.0000 0.0000 x1
Ge 0.5000 0.5000 0.5000 x1